1.
The following is a SCAN calculation of a PBEsol-optimized structure of InAsPb2, from Alexandria via LeMat-Bulk.

## Properties
Calculated volume (Å³/cell): 104
Symmetry: Imm2, No. 44
Distance to the lowest polymorph of the same formula (meV per atom): 26
ΔE_f (eV per atom): 0.090

Cell lengths 3.8092, 5.2574, 6.1320 Å; angles 115.38, 108.10, 90.00 degrees
Closest atoms and distances in Å follow each position.
Atoms (fractional coordinates):
Pb  0.2141  0.7141  0.4282  2 As 2.99, 4 In 3.33
Pb  0.0078  0.0078  0.0156  4 As 3.25, 4 Pb 3.39-3.60, 4 In 3.46-3.50
As  0.4928  0.4928  0.9856  2 In 2.88, 2 Pb 2.99
In  0.7853  0.2853  0.5706  2 As 2.88


2.
The following is a SCAN calculation of a PBEsol-optimized structure of In2AsPb, from Alexandria via LeMat-Bulk.

## Properties
Calculated volume (Å³/cell): 99
Symmetry: P2/m, No. 10
Distance to the lowest polymorph of the same formula (meV per atom): 201
ΔE_f (eV per atom): 0.160

Cell lengths 3.2843, 4.8829, 6.3367 Å; angles 90.00, 102.74, 90.00 degrees
Closest atoms and distances in Å follow each position.
Atoms (fractional coordinates):
In  0.8998  0.0000  0.7304  2 As 3.00, 4 In 3.13-3.33
In  0.1002  0.0000  0.2696  2 As 3.00, 4 In 3.13-3.33
Pb  0.5000  0.5000  0.0000  2 As 3.17, 2 Pb 3.28, 8 In 3.36-3.40
As  0.5000  0.5000  0.5000  4 In 3.00, 2 Pb 3.17, 2 As 3.28


3.
The following is a SCAN calculation of a PBEsol-optimized structure of InAsPb2, from Alexandria via LeMat-Bulk.

## Properties
Calculated volume (Å³/cell): 112
Symmetry: R-3m, No. 166
Distance to the lowest polymorph of the same formula (meV per atom): 0
ΔE_f (eV per atom): 0.064

Cell lengths 4.0271, 4.0271, 8.2987 Å; angles 75.96, 75.96, 60.00 degrees
Closest atoms and distances in Å follow each position.
Atoms (fractional coordinates):
As  0.5000  0.5000  0.5000  6 Pb 2.90
Pb  0.7605  0.7605  0.7185  3 As 2.90, 3 In 3.23
Pb  0.2395  0.2395  0.2815  3 As 2.90, 3 In 3.23
In  0.0000  0.0000  0.0000  6 Pb 3.23


4.
The following is a SCAN calculation of a PBEsol-optimized structure of In2AsPb, from Alexandria via LeMat-Bulk.

## Properties
Calculated volume (Å³/cell): 100
Symmetry: Immm, No. 71
Distance to the lowest polymorph of the same formula (meV per atom): 131
ΔE_f (eV per atom): 0.090

Cell lengths 3.7738, 5.0401, 6.1361 Å; angles 114.25, 107.91, 90.00 degrees
Closest atoms and distances in Å follow each position.
Atoms (fractional coordinates):
In  0.2867  0.2867  0.5733  2 As 2.93, 4 In 3.24
In  0.7133  0.7133  0.4267  2 As 2.93, 4 In 3.24
As  0.0000  0.5000  0.0000  4 In 2.93, 4 Pb 3.15
Pb  0.5000  0.0000  0.0000  4 As 3.15, 4 In 3.38